VASP calculation (PBE-GGA) on a geometry-optimized NaMg2BiI structure.

total DFT energy (no corrections): -2.182 eV per atom
space-group type: P4/mmm
volume: 198 Å³/f.u.

Unit cell a=5.6914 b=6.1230 c=5.6914 alpha=90.00 beta=90.00 gamma=90.00
With the nearest neighbours (Å) after each atom.
Positions (direct):
I: 0.5000 0.5000 0.5000  4 Na 4.02, 8 Mg 4.18
Mg: 0.0000 0.0000 0.5000  2 Bi 2.85
Mg: 0.5000 0.0000 0.0000  2 Bi 2.85
Na: 0.0000 0.5000 0.0000  2 Bi 3.06
Bi: 0.0000 0.0000 0.0000  4 Mg 2.85, 2 Na 3.06